1.
First-principles (PBE) data for an optimized crystal structure of SrMg5Sn3, as listed in Alexandria.

Lattice parameters (Å, degrees): 4.681 15.573 13.633 90.00 90.00 90.00
Space group Cmcm (No. 63)
One atom of each set of equivalent atoms:
Sr: 0.000 0.135 0.250
Mg: 0.000 0.000 0.000
Mg: 0.000 0.192 0.560
Mg: 0.000 0.447 0.139
Sn: 0.000 0.102 0.750
Sn: 0.000 0.376 0.560

uncorrected energy	-96.775	eV for the cell shown

---

2.
First-principles (PBE) data for an optimized crystal structure of SrMgSn, as listed in Alexandria.

Lattice parameters (Å, degrees): 7.996 4.915 13.722 90.00 90.43 90.00
Space group P2_1/m (No. 11)
One atom of each set of equivalent atoms:
Sr: 0.002 0.250 0.301
Sr: 0.344 0.750 0.918
Sr: 0.487 0.750 0.625
Mg: 0.014 0.250 0.905
Mg: 0.153 0.250 0.542
Mg: 0.342 0.750 0.209
Sn: 0.223 0.250 0.092
Sn: 0.224 0.750 0.425
Sn: 0.283 0.250 0.751

uncorrected energy	-53.767	eV for the cell shown

---

3.
First-principles (PBE) data for an optimized crystal structure of SrMgSn3, as listed in Alexandria.

Lattice parameters (Å, degrees): 5.456 5.456 5.456 90.00 90.00 90.00
Space group Pm-3m (No. 221)
One atom of each set of equivalent atoms:
Sr: 0.000 0.000 0.000
Mg: 0.500 0.500 0.500
Sn: 0.000 0.500 0.500

uncorrected energy	-15.385	eV for the cell shown

---

4.
First-principles (PBE) data for an optimized crystal structure of Sr2MgSn6, as listed in Alexandria.

Lattice parameters (Å, degrees): 12.071 6.964 6.290 90.00 90.05 90.00
Space group C2/m (No. 12)
One atom of each set of equivalent atoms:
Sr: 0.166 0.000 0.332
Mg: 0.000 0.500 0.500
Sn: 0.091 0.227 0.828
Sn: 0.182 0.500 0.172

uncorrected energy	-64.759	eV for the cell shown

---

5.
First-principles (PBE) data for an optimized crystal structure of SrMgSn2, as listed in Alexandria.

Lattice parameters (Å, degrees): 5.303 5.303 19.506 90.00 90.00 90.00
Space group I-42d (No. 122)
One atom of each set of equivalent atoms:
Sr: 0.000 0.000 0.000
Mg: 0.000 0.000 0.500
Sn: 0.161 0.250 0.625

uncorrected energy	-48.405	eV for the cell shown

---

6.
First-principles (PBE) data for an optimized crystal structure of SrMgSn, as listed in Alexandria.

Lattice parameters (Å, degrees): 8.212 4.921 8.871 90.00 90.00 90.00
Space group Pnma (No. 62)
One atom of each set of equivalent atoms:
Sr: 0.010 0.250 0.190
Mg: 0.150 0.250 0.569
Sn: 0.221 0.750 0.393

uncorrected energy	-35.971	eV for the cell shown

---

7.
First-principles (PBE) data for an optimized crystal structure of Sr4Mg5Sn6, as listed in Alexandria.

Lattice parameters (Å, degrees): 4.863 21.723 17.495 90.00 90.00 90.00
Space group Cmc2_1 (No. 36)
One atom of each set of equivalent atoms:
Sr: 0.000 0.019 0.000
Sr: 0.000 0.035 0.262
Sr: 0.000 0.166 0.802
Sr: 0.000 0.178 0.441
Mg: 0.000 0.153 0.123
Mg: 0.000 0.302 0.117
Mg: 0.000 0.342 0.763
Mg: 0.000 0.352 0.484
Mg: 0.000 0.439 0.176
Sn: 0.000 0.113 0.617
Sn: 0.000 0.220 0.982
Sn: 0.000 0.229 0.260
Sn: 0.000 0.429 0.628
Sn: 0.000 0.430 0.901
Sn: 0.000 0.443 0.354

uncorrected energy	-180.422	eV for the cell shown

---

8.
First-principles (PBE) data for an optimized crystal structure of SrMgSn, as listed in Alexandria.

Lattice parameters (Å, degrees): 17.298 4.911 9.909 90.00 92.52 90.00
Space group C2/m (No. 12)
One atom of each set of equivalent atoms:
Sr: 0.061 0.000 0.184
Sr: 0.112 0.500 0.616
Mg: 0.226 0.500 0.283
Mg: 0.228 0.500 0.915
Sn: 0.135 0.000 0.878
Sn: 0.190 0.000 0.432

uncorrected energy	-65.696	eV for the cell shown

---

9.
First-principles (PBE) data for an optimized crystal structure of SrMg2Sn2, as listed in Alexandria.

Lattice parameters (Å, degrees): 8.712 8.712 3.522 90.00 90.00 90.00
Space group P4/mbm (No. 127)
One atom of each set of equivalent atoms:
Sr: 0.000 0.000 0.000
Mg: 0.122 0.378 0.000
Sn: 0.173 0.673 0.500

uncorrected energy	-28.700	eV for the cell shown

---

10.
First-principles (PBE) data for an optimized crystal structure of SrMg6Sn6, as listed in Alexandria.

Lattice parameters (Å, degrees): 6.292 9.601 10.986 90.00 90.00 90.00
Space group Immm (No. 71)
One atom of each set of equivalent atoms:
Sr: 0.000 0.000 0.000
Mg: 0.000 0.228 0.500
Mg: 0.250 0.250 0.250
Sn: 0.000 0.000 0.315
Sn: 0.000 0.348 0.000
Sn: 0.000 0.500 0.348

uncorrected energy	-75.604	eV for the cell shown

---

11.
First-principles (PBE) data for an optimized crystal structure of SrMg2Sn3, as listed in Alexandria.

Lattice parameters (Å, degrees): 11.476 9.106 6.605 90.00 90.00 90.00
Space group Cmcm (No. 63)
One atom of each set of equivalent atoms:
Sr: 0.000 0.150 0.250
Mg: 0.221 0.500 0.000
Sn: 0.000 0.488 0.750
Sn: 0.135 0.201 0.750

uncorrected energy	-73.549	eV for the cell shown

---

12.
First-principles (PBE) data for an optimized crystal structure of SrMgSn2, as listed in Alexandria.

Lattice parameters (Å, degrees): 8.224 4.763 12.347 90.00 90.00 90.00
Space group Pnma (No. 62)
One atom of each set of equivalent atoms:
Sr: 0.155 0.250 0.137
Mg: 0.013 0.250 0.649
Sn: 0.151 0.250 0.857
Sn: 0.164 0.250 0.436

uncorrected energy	-51.740	eV for the cell shown